A relaxed Zn2Si crystal, computed with PBE-GGA.

```
Zn2Si
1.0
1.398 4.665 0.247
-1.398 4.665 0.247
0.000 3.438 7.205
Zn Si
4 2
direct
0.361 0.361 0.778 Zn
0.362 0.362 0.277 Zn
0.700 0.700 0.113 Zn
0.022 0.022 0.443 Zn
0.683 0.683 0.620 Si
0.039 0.039 0.935 Si
```

=====

A relaxed ZnSi crystal, computed with PBE-GGA.

```
ZnSi
1.0
-6.241 3.405 -6.194
-3.966 -8.527 -0.691
-2.318 0.851 2.803
Zn Si
8 8
direct
0.043 0.199 0.500 Zn
0.457 0.301 0.000 Zn
0.699 0.457 0.000 Zn
0.957 0.801 0.500 Zn
0.543 0.699 0.000 Zn
0.301 0.543 0.000 Zn
0.801 0.043 0.500 Zn
0.199 0.957 0.500 Zn
0.693 0.814 0.500 Si
0.814 0.307 0.500 Si
0.307 0.186 0.500 Si
0.807 0.686 0.000 Si
0.314 0.807 0.000 Si
0.186 0.693 0.500 Si
0.686 0.193 0.000 Si
0.193 0.314 0.000 Si
```

=====

A relaxed ZnSi2 crystal, computed with PBE-GGA.

```
ZnSi2
1.0
-5.398 -1.037 0.345
-4.485 -3.025 -1.031
-1.099 -4.278 5.452
Si Zn
4 2
direct
0.491 0.491 0.735 Si
0.160 0.160 0.434 Si
0.840 0.840 0.566 Si
0.509 0.509 0.265 Si
0.838 0.838 0.087 Zn
0.162 0.162 0.913 Zn
```

=====

Calculated raw formation energy (eV/atom), listed in the same order as above: 0.2058 0.3080 0.3573